Version i
LuTcAsO: relaxed, PBE.

Cell lengths 4.373, 4.373, 8.518 Å; angles 90.00, 90.00, 90.00 degrees
Sites, in units of the cell vectors:
As (0.750, 0.750, 0.304)
As (0.250, 0.250, 0.696)
Lu (0.750, 0.250, 0.500)
Lu (0.250, 0.750, 0.500)
O (0.750, 0.250, 0.000)
O (0.250, 0.750, 0.000)
Tc (0.750, 0.750, 0.008)
Tc (0.250, 0.250, 0.992)

Total magnetic moment in μB per cell: 6.61

=====

Version ii
LuTcAsO: relaxed, PBE.

Cell lengths 3.908, 3.908, 8.358 Å; angles 90.00, 90.00, 90.00 degrees
Sites, in units of the cell vectors:
As (0.750, 0.750, 0.314)
As (0.250, 0.250, 0.686)
Lu (0.250, 0.250, 0.123)
Lu (0.750, 0.750, 0.877)
O (0.750, 0.250, 0.000)
O (0.250, 0.750, 0.000)
Tc (0.750, 0.250, 0.500)
Tc (0.250, 0.750, 0.500)

Total magnetic moment in μB per cell: 0.01

=====

version ii is favored, and the nearest alternative lies 152.4 kJ/mol of atoms above it.

=====

Version i
LuTlAsO: relaxed, PBE.

Cell lengths 4.579, 4.579, 8.455 Å; angles 90.00, 90.00, 90.00 degrees
Sites, in units of the cell vectors:
As (0.750, 0.750, 0.321)
As (0.250, 0.250, 0.679)
Lu (0.750, 0.250, 0.500)
Lu (0.250, 0.750, 0.500)
O (0.750, 0.250, 0.000)
O (0.250, 0.750, 0.000)
Tl (0.250, 0.250, 0.104)
Tl (0.750, 0.750, 0.896)

Total magnetic moment in μB per cell: 0.01

=====

Version ii
LuTlAsO: relaxed, PBE.

Cell lengths 4.110, 4.110, 9.717 Å; angles 90.00, 90.00, 90.00 degrees
Sites, in units of the cell vectors:
As (0.000, 0.500, 0.269)
As (0.500, 0.000, 0.731)
Lu (0.500, 0.000, 0.096)
Lu (0.000, 0.500, 0.904)
O (0.000, 0.000, 0.000)
O (0.500, 0.500, 0.000)
Tl (0.000, 0.000, 0.500)
Tl (0.500, 0.500, 0.500)

Total magnetic moment in μB per cell: 0.03

=====

version ii is favored, and the nearest alternative lies 86.6 kJ/mol of atoms above it.

=====

Version i
LuZrAsO: relaxed, PBE.

Cell lengths 4.031, 4.031, 8.480 Å; angles 90.00, 90.00, 90.00 degrees
Sites, in units of the cell vectors:
As (0.750, 0.750, 0.271)
As (0.250, 0.250, 0.729)
Lu (0.750, 0.250, 0.500)
Lu (0.250, 0.750, 0.500)
O (0.750, 0.250, 0.000)
O (0.250, 0.750, 0.000)
Zr (0.250, 0.250, 0.125)
Zr (0.750, 0.750, 0.875)

Total magnetic moment in μB per cell: 0.02

=====

Version ii
LuZrAsO: relaxed, PBE.

Cell lengths 4.116, 4.116, 8.626 Å; angles 90.00, 90.00, 90.00 degrees
Sites, in units of the cell vectors:
As (0.750, 0.750, 0.295)
As (0.250, 0.250, 0.705)
Lu (0.250, 0.250, 0.108)
Lu (0.750, 0.750, 0.892)
O (0.750, 0.250, 0.000)
O (0.250, 0.750, 0.000)
Zr (0.750, 0.250, 0.500)
Zr (0.250, 0.750, 0.500)

Total magnetic moment in μB per cell: 0.02

=====

version ii is favored, and the nearest alternative lies 44.5 kJ/mol of atoms above it.

=====

Version i
MgTaMoAs: relaxed, PBE.

Cell lengths 4.529, 4.529, 4.529 Å; angles 60.00, 60.00, 60.00 degrees
Sites, in units of the cell vectors:
As (0.000, 0.000, 0.000)
Mg (0.750, 0.750, 0.750)
Mo (0.250, 0.250, 0.250)
Ta (0.500, 0.500, 0.500)

Total magnetic moment in μB per cell: 0.01

=====

Version ii
MgTaMoAs: relaxed, PBE.

Cell lengths 4.540, 4.540, 4.540 Å; angles 60.00, 60.00, 60.00 degrees
Sites, in units of the cell vectors:
As (0.250, 0.250, 0.250)
Mg (0.750, 0.750, 0.750)
Mo (0.000, 0.000, 0.000)
Ta (0.500, 0.500, 0.500)

Total magnetic moment in μB per cell: 0.00

=====

version i is favored, and the nearest alternative lies 23.5 kJ/mol of atoms above it.

=====

Version i
NaMgAsPd: relaxed, PBE.

Cell lengths 4.614, 4.614, 4.614 Å; angles 60.00, 60.00, 60.00 degrees
Sites, in units of the cell vectors:
As (0.500, 0.500, 0.500)
Mg (0.000, 0.000, 0.000)
Na (0.750, 0.750, 0.750)
Pd (0.250, 0.250, 0.250)

=====

Version ii
NaMgAsPd: relaxed, PBE.

Cell lengths 4.642, 4.642, 4.642 Å; angles 60.00, 60.00, 60.00 degrees
Sites, in units of the cell vectors:
As (0.250, 0.250, 0.250)
Mg (0.000, 0.000, 0.000)
Na (0.750, 0.750, 0.750)
Pd (0.500, 0.500, 0.500)

=====

version i is favored, and the nearest alternative lies 5.5 kJ/mol of atoms above it.

=====

Version i
NaMgAsPt: relaxed, PBE.

Cell lengths 4.596, 4.596, 4.596 Å; angles 60.00, 60.00, 60.00 degrees
Sites, in units of the cell vectors:
As (0.250, 0.250, 0.250)
Mg (0.750, 0.750, 0.750)
Na (0.000, 0.000, 0.000)
Pt (0.500, 0.500, 0.500)

Total magnetic moment in μB per cell: 0.00

=====

Version ii
NaMgAsPt: relaxed, PBE.

Cell lengths 4.662, 4.662, 4.662 Å; angles 60.00, 60.00, 60.00 degrees
Sites, in units of the cell vectors:
As (0.000, 0.000, 0.000)
Mg (0.250, 0.250, 0.250)
Na (0.750, 0.750, 0.750)
Pt (0.500, 0.500, 0.500)

Total magnetic moment in μB per cell: 0.00

=====

Version iii
NaMgAsPt: relaxed, PBE.

Cell lengths 4.630, 4.630, 4.630 Å; angles 60.00, 60.00, 60.00 degrees
Sites, in units of the cell vectors:
As (0.250, 0.250, 0.250)
Mg (0.000, 0.000, 0.000)
Na (0.750, 0.750, 0.750)
Pt (0.500, 0.500, 0.500)

Total magnetic moment in μB per cell: 0.00

=====

version i is favored, and the nearest alternative lies 11.5 kJ/mol of atoms above it.

=====

Version i
MgScNiAs: relaxed, PBE.

Cell lengths 4.543, 4.543, 4.543 Å; angles 60.00, 60.00, 60.00 degrees
Sites, in units of the cell vectors:
As (0.000, 0.000, 0.000)
Mg (0.500, 0.500, 0.500)
Ni (0.750, 0.750, 0.750)
Sc (0.250, 0.250, 0.250)

Total magnetic moment in μB per cell: 0.01

=====

Version ii
MgScNiAs: relaxed, PBE.

Cell lengths 4.557, 4.557, 4.557 Å; angles 60.00, 60.00, 60.00 degrees
Sites, in units of the cell vectors:
As (0.000, 0.000, 0.000)
Mg (0.250, 0.250, 0.250)
Ni (0.750, 0.750, 0.750)
Sc (0.500, 0.500, 0.500)

Total magnetic moment in μB per cell: 0.00

=====

Version iii
MgScNiAs: relaxed, PBE.

Cell lengths 4.565, 4.565, 4.565 Å; angles 60.00, 60.00, 60.00 degrees
Sites, in units of the cell vectors:
As (0.250, 0.250, 0.250)
Mg (0.500, 0.500, 0.500)
Ni (0.750, 0.750, 0.750)
Sc (0.000, 0.000, 0.000)

Total magnetic moment in μB per cell: 0.00

=====

version iii is favored, and the nearest alternative lies 22.8 kJ/mol of atoms above it.

=====

Version i
MgTaNiAs: relaxed, PBE.

Cell lengths 4.525, 4.525, 4.525 Å; angles 60.00, 60.00, 60.00 degrees
Sites, in units of the cell vectors:
As (0.000, 0.000, 0.000)
Mg (0.250, 0.250, 0.250)
Ni (0.750, 0.750, 0.750)
Ta (0.500, 0.500, 0.500)

Total magnetic moment in μB per cell: 0.07

=====

Version ii
MgTaNiAs: relaxed, PBE.

Cell lengths 4.446, 4.446, 4.446 Å; angles 60.00, 60.00, 60.00 degrees
Sites, in units of the cell vectors:
As (0.000, 0.000, 0.000)
Mg (0.500, 0.500, 0.500)
Ni (0.750, 0.750, 0.750)
Ta (0.250, 0.250, 0.250)

Total magnetic moment in μB per cell: 0.04

=====

version ii is favored, and the nearest alternative lies 21.2 kJ/mol of atoms above it.

=====

Version i
MgAsPdO: relaxed, PBE.

Cell lengths 2.910, 7.391, 5.460 Å; angles 90.00, 90.00, 90.00 degrees
Sites, in units of the cell vectors:
As (0.000, 0.628, 0.426)
As (0.000, 0.372, 0.926)
Mg (0.000, 0.978, 0.124)
Mg (0.000, 0.022, 0.624)
O (0.500, 0.041, 0.368)
O (0.500, 0.959, 0.868)
Pd (0.500, 0.361, 0.336)
Pd (0.500, 0.639, 0.836)

=====

Version ii
MgAsPdO: relaxed, PBE.

Cell lengths 4.028, 4.028, 8.709 Å; angles 90.00, 90.00, 90.00 degrees
Sites, in units of the cell vectors:
As (0.000, 0.500, 0.335)
As (0.500, 0.000, 0.665)
Mg (0.500, 0.000, 0.011)
Mg (0.000, 0.500, 0.989)
O (0.000, 0.000, 0.000)
O (0.500, 0.500, 0.000)
Pd (0.000, 0.000, 0.500)
Pd (0.500, 0.500, 0.500)

=====

Version iii
MgAsPdO: relaxed, PBE.

Cell lengths 4.039, 4.039, 8.075 Å; angles 90.00, 90.00, 90.00 degrees
Sites, in units of the cell vectors:
As (0.000, 0.500, 0.279)
As (0.500, 0.000, 0.721)
Mg (0.000, 0.000, 0.500)
Mg (0.500, 0.500, 0.500)
O (0.000, 0.000, 0.000)
O (0.500, 0.500, 0.000)
Pd (0.500, 0.000, 0.096)
Pd (0.000, 0.500, 0.904)

=====

version ii is favored, and the nearest alternative lies 4.7 kJ/mol of atoms above it.

=====

Version i
PmMgAsO: relaxed, PBE.

Cell lengths 4.344, 4.444, 7.318 Å; angles 90.00, 90.00, 90.00 degrees
Sites, in units of the cell vectors:
As (0.000, 0.214, 0.280)
As (0.000, 0.786, 0.780)
Mg (0.000, 0.713, 0.440)
Mg (0.000, 0.287, 0.940)
O (0.500, 0.718, 0.436)
O (0.500, 0.282, 0.936)
Pm (0.500, 0.782, 0.099)
Pm (0.500, 0.218, 0.599)

Total magnetic moment in μB per cell: 0.01

=====

Version ii
PmMgAsO: relaxed, PBE.

Cell lengths 4.362, 4.362, 9.745 Å; angles 90.00, 90.00, 90.00 degrees
Sites, in units of the cell vectors:
As (0.750, 0.750, 0.311)
As (0.250, 0.250, 0.689)
Mg (0.750, 0.750, 0.001)
Mg (0.250, 0.250, 0.999)
O (0.750, 0.250, 0.000)
O (0.250, 0.750, 0.000)
Pm (0.750, 0.250, 0.500)
Pm (0.250, 0.750, 0.500)

Total magnetic moment in μB per cell: 0.04

=====

Version iii
PmMgAsO: relaxed, PBE.

Cell lengths 4.132, 4.132, 9.084 Å; angles 90.00, 90.00, 90.00 degrees
Sites, in units of the cell vectors:
As (0.750, 0.750, 0.317)
As (0.250, 0.250, 0.682)
Mg (0.750, 0.250, 0.500)
Mg (0.250, 0.750, 0.500)
O (0.750, 0.250, 0.000)
O (0.250, 0.750, 0.000)
Pm (0.250, 0.250, 0.122)
Pm (0.750, 0.750, 0.879)

Total magnetic moment in μB per cell: 0.00

=====

version iii is favored, and the nearest alternative lies 16.3 kJ/mol of atoms above it.

=====

Version i
MgReAsO: relaxed, PBE.

Cell lengths 4.050, 4.841, 5.891 Å; angles 90.00, 90.00, 90.00 degrees
Sites, in units of the cell vectors:
As (0.000, 0.884, 0.291)
As (0.000, 0.116, 0.791)
Mg (0.500, 0.234, 0.106)
Mg (0.500, 0.766, 0.606)
O (0.500, 0.400, 0.427)
O (0.500, 0.600, 0.927)
Re (0.000, 0.393, 0.430)
Re (0.000, 0.607, 0.930)

Total magnetic moment in μB per cell: 0.01

=====

Version ii
MgReAsO: relaxed, PBE.

Cell lengths 3.682, 3.682, 8.163 Å; angles 90.00, 90.00, 90.00 degrees
Sites, in units of the cell vectors:
As (0.750, 0.750, 0.266)
As (0.250, 0.250, 0.734)
Mg (0.750, 0.250, 0.500)
Mg (0.250, 0.750, 0.500)
O (0.750, 0.250, 0.000)
O (0.250, 0.750, 0.000)
Re (0.250, 0.250, 0.153)
Re (0.750, 0.750, 0.847)

Total magnetic moment in μB per cell: 0.14

=====

version i is favored, and the nearest alternative lies 78.4 kJ/mol of atoms above it.